No. 1
# ThTlPb2

A geometry-optimized ThTlPb2 structure (PBE, Alexandria via LeMat-Bulk).

Unit cell a=7.9190 b=7.9190 c=7.9190 alpha=90.00 beta=90.00 gamma=90.00
Space group Fm-3m (No. 225)
One atom of each set of equivalent atoms:
Th 0.0000 0.0000 0.0000
Tl 0.0000 0.0000 0.5000
Pb 0.2500 0.2500 0.2500

Polymorph energy (0 for the lowest one): 289 meV/atom
Energy of formation: 70 meV per atom

No. 2
# Dy3Er7Th

A geometry-optimized Dy3Er7Th structure (PBE, Alexandria via LeMat-Bulk).

Unit cell a=6.9830 b=6.9830 c=8.5848 alpha=90.00 beta=90.00 gamma=120.00
Space group P3m1 (No. 156)
One atom of each set of equivalent atoms:
Dy 0.0026 0.5013 0.0000
Er 0.1692 0.3383 0.6614
Er 0.3351 0.1676 0.3344
Er 0.6667 0.3333 0.6664
Th 0.3333 0.6667 0.3339

Polymorph energy (0 for the lowest one): 25 meV/atom
Energy of formation: 189 meV per atom

No. 3
# Pr2PaCu

A geometry-optimized Pr2PaCu structure (PBE, Alexandria via LeMat-Bulk).

Unit cell a=3.5152 b=3.5152 c=8.5822 alpha=90.00 beta=90.00 gamma=90.00
Space group P4/mmm (No. 123)
One atom of each set of equivalent atoms:
Pr 0.0000 0.0000 0.2197
Pa 0.5000 0.5000 0.5000
Cu 0.5000 0.5000 0.0000

Polymorph energy (0 for the lowest one): 0 meV/atom
Energy of formation: 104 meV per atom

No. 4
# TbPr3Nd6Er2

A geometry-optimized TbPr3Nd6Er2 structure (PBE, Alexandria via LeMat-Bulk).

Unit cell a=6.3349 b=10.9767 c=12.0611 alpha=90.00 beta=100.10 gamma=90.00
Space group C2/m (No. 12)
One atom of each set of equivalent atoms:
Tb 0.0000 0.0000 0.0000
Pr 0.0000 0.1668 0.5000
Pr 0.0000 0.5000 0.5000
Nd 0.2483 0.5000 0.2445
Nd 0.2489 0.1669 0.2446
Er 0.0000 0.3333 0.0000

Energy of formation: 17 meV per atom

No. 5
# C3Se

A geometry-optimized C3Se structure (PBE, Alexandria via LeMat-Bulk).

Unit cell a=3.2004 b=11.6115 c=5.0359 alpha=90.00 beta=90.00 gamma=90.00
Space group Cmmm (No. 65)
One atom of each set of equivalent atoms:
C 0.0000 0.0000 0.0000
C 0.2500 0.2500 0.5000
Se 0.0000 0.5000 0.0000

Raw formation energy: 3.129 eV per atom
Polymorph energy (0 for the lowest one): 1806 meV/atom

No. 6
# TbThGa2Au2

A geometry-optimized TbThGa2Au2 structure (PBE, Alexandria via LeMat-Bulk).

Unit cell a=4.5456 b=4.5456 c=7.4532 alpha=90.00 beta=90.00 gamma=120.00
Space group P-3m1 (No. 164)
One atom of each set of equivalent atoms:
Tb 0.0000 0.0000 0.0000
Th 0.0000 0.0000 0.5000
Ga 0.3333 0.6667 0.2471
Au 0.3333 0.6667 0.7696

Energy of formation: -724 meV per atom

No. 7
# KBeAl

A geometry-optimized KBeAl structure (PBE, Alexandria via LeMat-Bulk).

Unit cell a=3.1399 b=3.1399 c=7.6743 alpha=90.00 beta=90.00 gamma=120.00
Space group P3m1 (No. 156)
One atom of each set of equivalent atoms:
K 0.0000 0.0000 0.0000
Be 0.3333 0.6667 0.6288
Al 0.6667 0.3333 0.3961

Polymorph energy (0 for the lowest one): 314 meV/atom
Energy of formation: 802 meV per atom

No. 8
# ScHgO

A geometry-optimized ScHgO structure (PBE, Alexandria via LeMat-Bulk).

Unit cell a=3.3861 b=3.3861 c=6.0951 alpha=90.00 beta=90.00 gamma=120.00
Space group P3m1 (No. 156)
One atom of each set of equivalent atoms:
Sc 0.0000 0.0000 0.0000
Hg 0.3333 0.6667 0.6059
O 0.6667 0.3333 0.0872

Raw formation energy: -1.812 eV per atom

No. 9
# Ca2SiRuRh

A geometry-optimized Ca2SiRuRh structure (PBE, Alexandria via LeMat-Bulk).

Unit cell a=5.3445 b=5.3445 c=4.5921 alpha=90.00 beta=90.00 gamma=90.00
Space group P4/mmm (No. 123)
One atom of each set of equivalent atoms:
Ca 0.0000 0.5000 0.0000
Si 0.0000 0.0000 0.5000
Ru 0.5000 0.5000 0.0000
Rh 0.5000 0.5000 0.5000

Raw formation energy: 0.589 eV per atom

No. 10
# GaBi2Pb

A geometry-optimized GaBi2Pb structure (PBE, Alexandria via LeMat-Bulk).

Unit cell a=6.8410 b=6.8410 c=13.5890 alpha=90.00 beta=90.00 gamma=90.00
Space group I-42d (No. 122)
One atom of each set of equivalent atoms:
Ga 0.0000 0.0000 0.0000
Bi 0.2110 0.2500 0.1250
Pb 0.0000 0.0000 0.5000

Energy of formation: 143 meV per atom

No. 11
# FePt2Pb

A geometry-optimized FePt2Pb structure (PBE, Alexandria via LeMat-Bulk).

Unit cell a=8.7493 b=3.4953 c=4.9373 alpha=90.00 beta=103.35 gamma=90.00
Space group Cm (No. 8)
One atom of each set of equivalent atoms:
Fe 0.0000 0.0000 0.0000
Pt 0.0286 0.5000 0.6203
Pt 0.2752 0.0000 0.8818
Pb 0.2745 0.5000 0.3517

Energy of formation: 70 meV per atom

No. 12
# Tl2Hg2Sb

A geometry-optimized Tl2Hg2Sb structure (PBE, Alexandria via LeMat-Bulk).

Unit cell a=4.8205 b=7.1519 c=10.1153 alpha=69.89 beta=76.44 gamma=70.35
Space group P-1 (No. 2)
One atom of each set of equivalent atoms:
Tl 0.1245 0.1320 0.1161
Tl 0.1490 0.7052 0.4952
Hg 0.4042 0.5583 0.1322
Hg 0.4832 0.8750 0.6578
Sb 0.2260 0.2797 0.7662

Raw formation energy: 0.001 eV per atom
Polymorph energy (0 for the lowest one): 0 meV/atom